A plane-wave DFT calculation with PBE was carried out for crystalline Ta4TlSbN2 at its relaxed geometry.

Cell lengths 3.2790, 3.2790, 13.5777 Å; angles 90.00, 90.00, 120.00 degrees
Space group P-6m2 (No. 187)
Inequivalent atoms, fractional coordinates:
Ta  0.0000  0.0000  0.1646
Ta  0.6667  0.3333  0.3257
Tl  0.0000  0.0000  0.5000
Sb  0.6667  0.3333  0.0000
N  0.3333  0.6667  0.2442

Calculated values
- Crystal system: hexagonal
- E: -9.10 eV/atom